No. 1
Compound: Pa4Ge8Os
Source: Alexandria
Functional: PBE
Structure: optimized geometry

The structure in CIF format:
```
data_Pa4Ge8Os
_cell_length_a 4.085
_cell_length_b 4.116
_cell_length_c 16.073
_cell_angle_alpha 90.00
_cell_angle_beta 90.00
_cell_angle_gamma 90.00
_space_group_name_H-M_alt 'P 1'
_space_group_IT_number 1
loop_
_space_group_symop_operation_xyz
'x,y,z'
loop_
_atom_site_label
_atom_site_fract_x
_atom_site_fract_y
_atom_site_fract_z
Pa1 0.000 0.000 0.000
Pa2 0.000 0.500 0.484
Pa3 0.500 0.000 0.781
Pa4 0.500 0.500 0.279
Ge1 0.000 0.000 0.323
Ge2 0.000 0.000 0.616
Ge3 0.000 0.500 0.141
Ge4 0.000 0.500 0.855
Ge5 0.500 0.000 0.139
Ge6 0.500 0.000 0.434
Ge7 0.500 0.500 0.616
Ge8 0.500 0.500 0.954
Os1 0.000 0.500 0.705
```

Values from the calculation:
Total magnetic moment   0.00 μB/cell
Energy relative to the elements   -0.40 eV per atom

No. 2
Compound: LiLuThW
Source: Alexandria
Functional: PBE
Structure: optimized geometry

The structure in CIF format:
```
data_LiLuThW
_cell_length_a 7.056
_cell_length_b 7.056
_cell_length_c 7.056
_cell_angle_alpha 90.00
_cell_angle_beta 90.00
_cell_angle_gamma 90.00
_space_group_name_H-M_alt 'P 1'
_space_group_IT_number 1
loop_
_space_group_symop_operation_xyz
'x,y,z'
loop_
_atom_site_label
_atom_site_fract_x
_atom_site_fract_y
_atom_site_fract_z
Li1 0.000 0.000 0.000
Li2 0.000 0.500 0.500
Li3 0.500 0.000 0.500
Li4 0.500 0.500 0.000
Lu1 0.250 0.250 0.750
Lu2 0.250 0.750 0.250
Lu3 0.750 0.250 0.250
Lu4 0.750 0.750 0.750
Th1 0.250 0.250 0.250
Th2 0.250 0.750 0.750
Th3 0.750 0.250 0.750
Th4 0.750 0.750 0.250
W1 0.000 0.000 0.500
W2 0.000 0.500 0.000
W3 0.500 0.000 0.000
W4 0.500 0.500 0.500
```

Values from the calculation:
Total magnetic moment   0.00 μB/cell
Energy relative to the elements   0.20 eV per atom

No. 3
Compound: CuB3P
Source: Alexandria
Functional: PBE
Structure: optimized geometry

The structure in CIF format:
```
data_CuB3P
_cell_length_a 3.893
_cell_length_b 3.893
_cell_length_c 3.893
_cell_angle_alpha 90.00
_cell_angle_beta 90.00
_cell_angle_gamma 90.00
_space_group_name_H-M_alt 'P 1'
_space_group_IT_number 1
loop_
_space_group_symop_operation_xyz
'x,y,z'
loop_
_atom_site_label
_atom_site_fract_x
_atom_site_fract_y
_atom_site_fract_z
Cu1 0.000 0.000 0.000
B1 0.000 0.000 0.500
B2 0.000 0.500 0.000
B3 0.500 0.000 0.000
P1 0.500 0.500 0.500
```

Values from the calculation:
Total magnetic moment   0.00 μB/cell
Energy relative to the elements   1.79 eV per atom

No. 4
Compound: ScCoSb2
Source: Alexandria
Functional: PBE
Structure: optimized geometry

The structure in CIF format:
```
data_ScCoSb2
_cell_length_a 3.194
_cell_length_b 4.075
_cell_length_c 7.422
_cell_angle_alpha 90.00
_cell_angle_beta 102.36
_cell_angle_gamma 90.00
_space_group_name_H-M_alt 'P 1'
_space_group_IT_number 1
loop_
_space_group_symop_operation_xyz
'x,y,z'
loop_
_atom_site_label
_atom_site_fract_x
_atom_site_fract_y
_atom_site_fract_z
Sc1 0.000 0.000 0.000
Co1 0.575 0.500 0.150
Sb1 0.395 0.500 0.789
Sb2 0.679 0.000 0.360
```

Values from the calculation:
Total magnetic moment   0.65 μB/cell
Uncorrected formation energy   -0.233 eV per atom